# 1
Computed, not measured: a geometry-optimized Sr2PrCd structure at the PBE-GGA level of DFT.

abc: 3.869 3.869 10.306
angles: 90.00 90.00 90.00
Sites, in units of the cell vectors:
1 Sr 0.000 0.000 0.211
2 Sr 0.000 0.000 0.789
3 Pr 0.500 0.500 0.500
4 Cd 0.500 0.500 0.000

Calculated values
As for the relative energy among the computed polymorphs: 0 meV per atom. For the total energy, the calculation gives -2.32 eV/atom. Its density of states at the Fermi level is 1.188 states/eV per atom. The calculation puts the formation energy at -0.226 eV/f.u. Its crystal system is tetragonal.

=====

# 2
Computed, not measured: a geometry-optimized Ce6ThIn structure at the PBE-GGA level of DFT.

abc: 6.595 6.595 6.562
angles: 103.53 103.53 119.28
Sites, in units of the cell vectors:
1 Ce 0.005 0.005 0.300
2 Ce 0.224 0.722 0.225
3 Ce 0.278 0.776 0.775
4 Ce 0.722 0.224 0.225
5 Ce 0.776 0.278 0.775
6 Ce 0.995 0.995 0.700
7 Th 0.500 0.500 0.500
8 In 0.500 0.500 0.000

Calculated values
As for the relative energy among the computed polymorphs: 286 meV per atom. For the total energy, the calculation gives -5.51 eV/atom. Its density of states at the Fermi level is 2.966 states/eV per atom. The calculation puts the formation energy at 1.689 eV/f.u. Its crystal system is monoclinic.

=====

# 3
Computed, not measured: a geometry-optimized YIrAu3 structure at the PBE-GGA level of DFT.

abc: 5.314 5.314 5.314
angles: 90.00 90.00 90.00
Sites, in units of the cell vectors:
1 Y 0.000 0.000 0.000
2 Ir 0.500 0.500 0.500
3 Au 0.000 0.000 0.500
4 Au 0.000 0.500 0.000
5 Au 0.500 0.000 0.000

Calculated values
For the total energy, the calculation gives -3.61 eV/atom. Its density of states at the Fermi level is 0.867 states/eV per atom. The calculation puts the formation energy at 7.119 eV/f.u. Its crystal system is cubic.

=====

# 4
Computed, not measured: a geometry-optimized PrHo2ThSc structure at the PBE-GGA level of DFT.

abc: 7.830 5.015 7.885
angles: 90.00 90.57 90.00
Sites, in units of the cell vectors:
1 Pr 0.249 0.250 0.245
2 Pr 0.751 0.750 0.755
3 Ho 0.159 0.750 0.946
4 Ho 0.347 0.750 0.549
5 Ho 0.653 0.250 0.451
6 Ho 0.841 0.250 0.054
7 Th 0.055 0.250 0.650
8 Th 0.945 0.750 0.350
9 Sc 0.449 0.250 0.849
10 Sc 0.551 0.750 0.151

Calculated values
For the total energy, the calculation gives -5.48 eV/atom. Its density of states at the Fermi level is 1.498 states/eV per atom. The calculation puts the formation energy at 0.296 eV/f.u. Its crystal system is monoclinic.